# 1
The following is a DFT calculation (GGA-PBE) of crystalline ThMg2Si2 at its relaxed geometry.

SG: No. 139
E, eV per atom: -4.70
Formation energy without anion corrections, meV per atom: -410
Fermi-level density of states, states/eV/cell: 2.49

Cell: 4.194 4.194 6.597 Å, 71.45 71.45 89.95°
Sites, in units of the cell vectors:
Th 0.000 0.000 0.000
Mg 0.750 0.250 0.500
Mg 0.250 0.750 0.500
Si 0.398 0.398 0.203
Si 0.602 0.602 0.797

=====

# 2
The following is a DFT calculation (GGA-PBE) of crystalline ThMg6Si2 at its relaxed geometry.

SG: No. 123
E, eV per atom: -3.29
Formation energy without anion corrections, meV per atom: -202
Fermi-level density of states, states/eV/cell: 5.10

Cell: 4.273 4.273 10.578 Å, 90.00 90.00 90.00°
Sites, in units of the cell vectors:
Si 0.500 0.500 0.111
Si 0.500 0.500 0.889
Mg 0.500 0.000 0.274
Mg 0.000 0.500 0.274
Mg 0.500 0.000 0.726
Th 0.000 0.000 0.000
Mg 0.500 0.500 0.500
Mg 0.000 0.500 0.726
Mg 0.000 0.000 0.500

=====

# 3
The following is a DFT calculation (GGA-PBE) of crystalline Mg2TiSi2 at its relaxed geometry.

SG: No. 127
E, eV per atom: -4.51
Formation energy without anion corrections, meV per atom: -121
Fermi-level density of states, states/eV/cell: 9.52

Cell: 6.673 6.673 4.068 Å, 90.00 90.00 90.00°
Sites, in units of the cell vectors:
Ti 0.500 0.500 0.000
Ti 0.000 0.000 0.000
Si 0.128 0.372 0.000
Mg 0.320 0.180 0.500
Si 0.872 0.628 0.000
Si 0.628 0.128 0.000
Mg 0.820 0.320 0.500
Mg 0.680 0.820 0.500
Si 0.372 0.872 0.000
Mg 0.180 0.680 0.500